No. 1
Material: LaYMg4
Method: DFT, PBEsol
State: optimized geometry

Summary:
Energy relative to the elements: -0.094 eV per atom
M_tot: 0.0 Bohr magnetons per cell
Calculated density: 3.4 g/cm3
Energy: -19.598 eV per cell
Space group: F-43m, No. 216

```
data_LaYMg4
_symmetry_space_group_name_H-M 'P 1'
_symmetry_Int_Tables_number 1
_symmetry_space_group_name_Hall 'P 1'
_cell_length_a 6.061
_cell_length_b 6.061
_cell_length_c 6.061
_cell_angle_alpha 60.00
_cell_angle_beta 60.00
_cell_angle_gamma 60.00
loop_
_atom_site_label
_atom_site_type_symbol
_atom_site_fract_x
_atom_site_fract_y
_atom_site_fract_z
La1 La 0.000 0.000 0.000
Y1 Y 0.750 0.750 0.750
Mg1 Mg 0.375 0.375 0.375
Mg2 Mg 0.375 0.375 0.874
Mg3 Mg 0.375 0.874 0.375
Mg4 Mg 0.874 0.375 0.375
```



No. 2
Material: ZrCo2SnS
Method: DFT, PBEsol
State: optimized geometry

Summary:
M_tot: 1.0 Bohr magnetons per cell
Calculated density: 5.4 g/cm3
Energy: -26.435 eV per cell
Space group: P4/mmm, No. 123

```
data_ZrCo2SnS
_symmetry_space_group_name_H-M 'P 1'
_symmetry_Int_Tables_number 1
_symmetry_space_group_name_Hall 'P 1'
_cell_length_a 4.412
_cell_length_b 4.412
_cell_length_c 5.644
_cell_angle_alpha 90.00
_cell_angle_beta 90.00
_cell_angle_gamma 90.00
loop_
_atom_site_label
_atom_site_type_symbol
_atom_site_fract_x
_atom_site_fract_y
_atom_site_fract_z
Zr1 Zr 0.000 0.000 0.000
Co1 Co 0.000 0.500 0.000
Co2 Co 0.500 0.000 0.000
Sn1 Sn 0.000 0.000 0.500
S1 S 0.500 0.500 0.500
```



No. 3
Material: YSeBr2
Method: DFT, PBEsol
State: optimized geometry

Summary:
M_tot: 2.0 Bohr magnetons per cell
Calculated density: 4.1 g/cm3
Energy: -38.445 eV per cell
Space group: I-42d, No. 122
Excess energy over the best structure of this formula in the dataset: 0 meV per atom

```
data_YSeBr2
_symmetry_space_group_name_H-M 'P 1'
_symmetry_Int_Tables_number 1
_symmetry_space_group_name_Hall 'P 1'
_cell_length_a 7.465
_cell_length_b 7.465
_cell_length_c 7.465
_cell_angle_alpha 97.88
_cell_angle_beta 97.88
_cell_angle_gamma 136.55
loop_
_atom_site_label
_atom_site_type_symbol
_atom_site_fract_x
_atom_site_fract_y
_atom_site_fract_z
Y1 Y 0.000 0.000 0.000
Y2 Y 0.750 0.250 0.500
Se1 Se 0.250 0.750 0.500
Se2 Se 0.500 0.500 0.000
Br1 Br 0.375 0.007 0.132
Br2 Br 0.757 0.625 0.632
Br3 Br 0.875 0.243 0.868
Br4 Br 0.993 0.125 0.368
```



Q: The highest calculated density belongs to which entry?
A: ZrCo2SnS



Q: What is the energy in the third record?
A: -38.445 eV per cell